# 1
A relaxed HgOs3 crystal. Source: the Alexandria database, functional PBE-GGA.

Lattice parameters (Å, degrees): 5.7053 5.7053 4.4578 90.00 90.00 120.00
Closest atoms and distances in Å follow each position.
Atoms (fractional coordinates):
Hg 0.3333 0.6667 0.2500  12 Os 2.78-2.85
Hg 0.6667 0.3333 0.7500  12 Os 2.78-2.85
Os 0.8344 0.1656 0.2500  8 Os 2.77-2.87, 4 Hg 2.78-2.85
Os 0.1656 0.8344 0.7500  8 Os 2.77-2.87, 4 Hg 2.78-2.85
Os 0.8344 0.6688 0.2500  8 Os 2.77-2.87, 4 Hg 2.78-2.85
Os 0.1656 0.3312 0.7500  8 Os 2.77-2.87, 4 Hg 2.78-2.85
Os 0.3312 0.1656 0.2500  8 Os 2.77-2.87, 4 Hg 2.78-2.85
Os 0.6688 0.8344 0.7500  8 Os 2.77-2.87, 4 Hg 2.78-2.85

total magnetization: 0.001 μB per formula unit
uncorrected energy: -60.11 eV/cell
formation energy from the elements: 3.9 eV per formula unit

***

# 2
A relaxed NdZrNiRu crystal. Source: the Alexandria database, functional PBE-GGA.

Lattice parameters (Å, degrees): 4.7775 4.7775 4.7775 60.00 60.00 60.00
Closest atoms and distances in Å follow each position.
Atoms (fractional coordinates):
Ru 0.2500 0.2500 0.2500  4 Zr 2.93, 4 Nd 2.93
Nd 0.0000 0.0000 0.0000  4 Ni 2.93, 4 Ru 2.93
Zr 0.5000 0.5000 0.5000  4 Ni 2.93, 4 Ru 2.93
Ni 0.7500 0.7500 0.7500  4 Zr 2.93, 4 Nd 2.93

total magnetization: 0.000 μB per formula unit
uncorrected energy: -29.28 eV/cell
formation energy from the elements: -0.9 eV per formula unit

***

# 3
A relaxed CaCdCuGe2 crystal. Source: the Alexandria database, functional PBE-GGA.

Lattice parameters (Å, degrees): 4.2979 4.2979 6.3332 109.83 109.83 90.00
Closest atoms and distances in Å follow each position.
Atoms (fractional coordinates):
Ca 0.0000 0.0000 0.0000  8 Ge 3.28, 4 Cu 3.51, 4 Cd 3.51
Cd 0.7500 0.2500 0.5000  4 Ge 2.64
Cu 0.2500 0.7500 0.5000  4 Ge 2.64
Ge 0.6112 0.6112 0.2225  1 Ge 2.47, 2 Cd 2.64, 2 Cu 2.64
Ge 0.3888 0.3888 0.7775  1 Ge 2.47, 2 Cd 2.64, 2 Cu 2.64

total magnetization: 0.000 μB per formula unit
uncorrected energy: -17.61 eV/cell
formation energy from the elements: -1.4 eV per formula unit

***

# 4
A relaxed RbCe2US8 crystal. Source: the Alexandria database, functional PBE-GGA.

Lattice parameters (Å, degrees): 7.1657 5.2925 8.6298 69.52 93.74 96.01
Closest atoms and distances in Å follow each position.
Atoms (fractional coordinates):
Rb 0.0000 0.0000 0.5000  6 S 3.22-3.50
Ce 0.5441 0.3164 0.8092  8 S 2.78-3.04
Ce 0.4559 0.6836 0.1908  8 S 2.78-3.04
U 0.0000 0.0000 0.0000  6 S 2.49-2.65
S 0.0751 0.6177 0.2549  1 U 2.49, 1 Ce 2.78
S 0.6845 0.7690 0.9111  1 U 2.65, 2 Ce 2.88-2.89
S 0.7451 0.1188 0.1458  1 U 2.53
S 0.9249 0.3823 0.7451  1 U 2.49, 1 Ce 2.78
S 0.3155 0.2310 0.0889  1 U 2.65, 2 Ce 2.88-2.89
S 0.2549 0.8812 0.8542  1 U 2.53
S 0.4687 0.7989 0.5044  1 S 2.10
S 0.5313 0.2011 0.4956  1 S 2.10

total magnetization: 1.112 μB per formula unit
uncorrected energy: -73.45 eV/cell
raw formation energy: -1.359 eV per atom

***

> What is the uncorrected energy in the fourth record?

-73.45 eV/cell